Entry 1:
Below is CrAgOs2 after structural relaxation, with properties calculated at the PBE level.

abc: 4.745 4.745 4.745
angles: 131.80 131.80 70.55
Positions (direct):
1 Cr 0.000 0.000 0.000
2 Ag 0.750 0.250 0.500
3 Os 0.250 0.750 0.500
4 Os 0.500 0.500 0.000

N(E_F) in states/eV per cell: 4.65
M_tot in μB per formula unit: 1.9
Distance to the lowest polymorph of the same formula in eV/atom: 0.334

=====

Entry 2:
Below is AlHgPb2C after structural relaxation, with properties calculated at the PBE level.

abc: 5.513 5.513 5.027
angles: 90.00 90.00 90.00
Positions (direct):
1 Al 0.000 0.000 0.000
2 Hg 0.000 0.000 0.500
3 Pb 0.000 0.500 0.000
4 Pb 0.500 0.000 0.000
5 C 0.500 0.500 0.500

N(E_F) in states/eV per cell: 3.10
M_tot in μB per formula unit: 1.8

=====

Computed energy of formation, in the same sequence as the records: 608, 1576 meV/atom.
Computed total DFT energy (no corrections), in the same sequence as the records: -8.126, -2.561 eV/atom.